1.
Compound: LiAlPb2
Source: the Alexandria database
Functional: GGA-PBE
Structure: optimized geometry

* mass density: 7.130 Mg/m³
* ΔE_f: 82 meV per atom

```
LiAlPb2
1.0
5.286 0.000 0.000
2.643 4.577 0.000
2.643 1.526 4.316
Pb Li Al
2 1 1
direct
0.750 0.750 0.750
0.000 0.000 0.000
0.250 0.250 0.250
0.500 0.500 0.500
```


2.
Compound: NbCr3Hg
Source: the Alexandria database
Functional: GGA-PBE
Structure: optimized geometry

* mass density: 6.155 Mg/m³
* ΔE_f: 1862 meV per atom
* offset from the most stable computed form: 406 meV per atom

```
NbCr3Hg
1.0
4.950 0.000 0.000
0.000 4.950 0.000
0.000 0.000 4.950
Cr Nb Hg
3 1 1
direct
0.000 0.500 0.000
0.500 0.000 0.000
0.000 0.000 0.500
0.500 0.500 0.500
0.000 0.000 0.000
```


3.
Compound: Be2Ni2Mo
Source: the Alexandria database
Functional: GGA-PBE
Structure: optimized geometry

* mass density: 7.287 Mg/m³
* ΔE_f: -205 meV per atom
* offset from the most stable computed form: 0 meV per atom

```
Be2Ni2Mo
1.0
6.461 0.000 0.000
0.000 6.461 0.000
0.000 0.000 2.526
Be Ni Mo
4 4 2
direct
0.377 0.877 0.000
0.877 0.623 0.000
0.123 0.377 0.000
0.623 0.123 0.000
0.830 0.330 0.500
0.670 0.830 0.500
0.330 0.170 0.500
0.170 0.670 0.500
0.500 0.500 0.000
0.000 0.000 0.000
```


4.
Compound: Ca6Cd2O
Source: the Alexandria database
Functional: GGA-PBE
Structure: optimized geometry

* mass density: 3.137 Mg/m³
* ΔE_f (raw): -0.769 eV per atom

```
Ca6Cd2O
1.0
-4.289 -5.494 1.429
2.098 -6.633 -1.494
1.614 -4.495 5.276
Ca O Cd
6 1 2
direct
0.743 0.257 0.257
0.257 0.743 0.743
0.257 0.743 0.257
0.743 0.743 0.257
0.743 0.257 0.743
0.257 0.257 0.743
0.500 0.500 0.500
0.750 0.750 0.750
0.250 0.250 0.250
```


5.
Compound: Pr2Zn2Pd15
Source: the Alexandria database
Functional: GGA-PBE
Structure: optimized geometry

* mass density: 10.053 Mg/m³
* ΔE_f: -386 meV per atom

```
Pr2Zn2Pd15
1.0
6.991 0.055 0.049
0.962 6.925 0.049
0.962 0.844 6.874
Pd Zn Pr
15 2 2
direct
0.347 0.347 0.846
0.000 0.000 0.500
0.653 0.653 0.154
0.698 0.000 0.302
0.698 0.302 0.000
0.000 0.302 0.698
0.500 0.000 0.000
0.154 0.653 0.653
0.302 0.698 0.000
0.653 0.154 0.653
0.000 0.698 0.302
0.846 0.347 0.347
0.000 0.500 0.000
0.347 0.846 0.347
0.302 0.000 0.698
0.094 0.094 0.094
0.906 0.906 0.906
0.343 0.343 0.343
0.657 0.657 0.657
```


6.
Compound: Ac3Nd4Pb4
Source: the Alexandria database
Functional: GGA-PBE
Structure: optimized geometry

* mass density: 8.651 Mg/m³
* ΔE_f: -299 meV per atom

```
Ac3Nd4Pb4
1.0
-3.200 -3.395 -2.244
2.760 -3.244 0.970
-8.061 0.901 16.108
Nd Pb Ac
4 4 3
direct
0.095 0.595 0.189
0.905 0.405 0.811
0.740 0.740 0.480
0.260 0.260 0.520
0.185 0.685 0.369
0.454 0.454 0.908
0.546 0.546 0.092
0.815 0.315 0.631
0.353 0.853 0.707
0.000 0.000 0.000
0.647 0.147 0.293
```


7.
Compound: SrTlZnBi
Source: the Alexandria database
Functional: GGA-PBE
Structure: optimized geometry

* mass density: 7.362 Mg/m³
* ΔE_f: -259 meV per atom

```
SrTlZnBi
1.0
5.653 0.000 0.000
2.827 4.896 0.000
2.827 1.632 4.616
Bi Sr Zn Tl
1 1 1 1
direct
0.500 0.500 0.500
0.250 0.250 0.250
0.000 0.000 0.000
0.750 0.750 0.750
```


8.
Compound: PmMgGaPt
Source: the Alexandria database
Functional: GGA-PBE
Structure: optimized geometry

* mass density: 8.193 Mg/m³
* ΔE_f: -554 meV per atom
* offset from the most stable computed form: 163 meV per atom

```
PmMgGaPt
1.0
-3.478 -1.939 -0.825
1.543 -1.258 -3.546
3.755 -8.756 4.740
Pt Mg Pm Ga
2 2 2 2
direct
0.500 0.000 0.914
0.000 0.500 0.086
0.500 0.500 0.500
0.000 0.000 0.500
0.500 0.000 0.192
0.000 0.500 0.808
0.000 0.500 0.323
0.500 0.000 0.677
```


9.
Compound: K2CdHg3Bi4
Source: the Alexandria database
Functional: GGA-PBE
Structure: optimized geometry

* mass density: 7.920 Mg/m³
* ΔE_f: -159 meV per atom

```
K2CdHg3Bi4
1.0
5.227 0.000 0.000
0.000 5.227 0.000
0.000 0.000 12.495
K Hg Bi Cd
2 3 4 1
direct
0.000 0.500 0.746
0.500 0.000 0.254
0.000 0.000 0.500
0.500 0.000 0.862
0.000 0.500 0.138
0.000 0.500 0.372
0.000 0.000 0.000
0.500 0.000 0.628
0.500 0.500 0.000
0.500 0.500 0.500
```


10.
Compound: Ac5Y3
Source: the Alexandria database
Functional: GGA-PBE
Structure: optimized geometry

* mass density: 7.283 Mg/m³
* ΔE_f: 46 meV per atom

```
Ac5Y3
1.0
-2.441 -1.138 -2.824
-2.519 -1.279 2.692
-9.200 18.861 0.351
Ac Y
5 3
direct
0.500 0.500 0.378
0.000 0.000 0.000
0.000 0.000 0.758
0.000 0.000 0.242
0.500 0.500 0.622
0.000 0.000 0.500
0.500 0.500 0.119
0.500 0.500 0.881
```


11.
Compound: Ca2PuMg
Source: the Alexandria database
Functional: GGA-PBE
Structure: optimized geometry

* mass density: 4.372 Mg/m³
* ΔE_f: 314 meV per atom
* offset from the most stable computed form: 143 meV per atom

```
Ca2PuMg
1.0
3.501 0.000 0.000
1.750 3.032 0.000
1.750 1.011 12.470
Ca Pu Mg
2 1 1
direct
0.090 0.090 0.729
0.910 0.910 0.271
0.000 0.000 0.000
0.500 0.500 0.500
```


12.
Compound: Y8ErTm4
Source: the Alexandria database
Functional: GGA-PBE
Structure: optimized geometry

* mass density: 6.205 Mg/m³
* ΔE_f: 228 meV per atom

```
Y8ErTm4
1.0
-1.009 6.707 -2.505
-2.570 -5.662 -3.689
-6.369 -2.033 7.558
Tm Er Y
4 1 8
direct
0.500 0.000 0.000
0.000 0.000 0.000
0.500 0.500 0.000
0.000 0.500 0.000
0.000 0.500 0.500
0.500 0.250 0.297
0.429 0.214 0.643
0.953 0.203 0.703
0.047 0.250 0.297
0.953 0.750 0.703
0.571 0.786 0.357
0.047 0.797 0.297
0.500 0.750 0.703
```


13.
Compound: CoPbW4
Source: the Alexandria database
Functional: GGA-PBE
Structure: optimized geometry

* mass density: 15.439 Mg/m³
* ΔE_f: 923 meV per atom

```
CoPbW4
1.0
0.000 3.776 3.776
3.776 0.000 3.776
3.776 3.776 0.000
W Co Pb
4 1 1
direct
0.376 0.376 0.376
0.873 0.376 0.376
0.376 0.873 0.376
0.376 0.376 0.873
0.750 0.750 0.750
0.000 0.000 0.000
```


14.
Compound: NaGeOF2
Source: the Alexandria database
Functional: GGA-PBE
Structure: optimized geometry

* mass density: 3.579 Mg/m³
* ΔE_f (raw): -1.932 eV per atom
* offset from the most stable computed form: 0 meV per atom

```
NaGeOF2
1.0
-0.733 3.650 -2.112
-3.745 -1.550 -1.378
-1.716 1.427 3.061
O Na Ge F
1 1 1 2
direct
0.000 0.000 0.500
0.500 0.500 0.500
0.000 0.000 0.000
0.000 0.500 0.000
0.500 0.000 0.000
```


15.
Compound: LiNi2Cl
Source: the Alexandria database
Functional: GGA-PBE
Structure: optimized geometry

* mass density: 4.113 Mg/m³
* ΔE_f (raw): -0.195 eV per atom
* offset from the most stable computed form: 10 meV per atom

```
LiNi2Cl
1.0
3.131 -0.007 0.000
0.007 3.131 0.000
0.000 0.000 6.578
Ni Li Cl
2 1 1
direct
0.500 0.500 0.139
0.000 0.000 0.000
0.500 0.500 0.732
0.000 0.000 0.630
```


16.
Compound: CaInOsCl2
Source: the Alexandria database
Functional: GGA-PBE
Structure: optimized geometry

* mass density: 4.341 Mg/m³
* ΔE_f (raw): 0.133 eV per atom

```
CaInOsCl2
1.0
-2.093 3.322 -3.211
-4.612 0.970 4.010
2.656 3.749 2.148
Ca Os Cl In
1 1 2 1
direct
0.000 0.000 0.000
0.000 0.500 0.000
0.500 0.000 0.000
0.000 0.000 0.500
0.500 0.500 0.500
```


17.
Compound: IrAu
Source: the Alexandria database
Functional: GGA-PBE
Structure: optimized geometry

* mass density: 17.778 Mg/m³
* ΔE_f: 418 meV per atom
* offset from the most stable computed form: 232 meV per atom

```
IrAu
1.0
6.737 0.000 0.000
0.000 5.808 0.000
0.000 0.000 7.432
Ir Au
8 8
direct
0.834 0.158 0.856
0.666 0.842 0.356
0.081 0.459 0.922
0.581 0.041 0.078
0.334 0.342 0.144
0.166 0.658 0.644
0.919 0.959 0.578
0.419 0.541 0.422
0.552 0.823 0.738
0.806 0.450 0.556
0.194 0.950 0.944
0.448 0.323 0.762
0.694 0.550 0.056
0.948 0.177 0.238
0.052 0.677 0.262
0.306 0.050 0.444
```


18.
Compound: LaTm4Si4
Source: the Alexandria database
Functional: GGA-PBE
Structure: optimized geometry

* mass density: 6.445 Mg/m³
* ΔE_f (raw): -0.504 eV per atom

```
LaTm4Si4
1.0
5.617 0.000 0.000
0.000 9.221 0.000
0.000 0.000 9.221
Si La Tm
8 2 8
direct
0.113 0.836 0.696
0.613 0.804 0.336
0.887 0.304 0.836
0.387 0.664 0.804
0.613 0.196 0.664
0.887 0.696 0.164
0.387 0.336 0.196
0.113 0.164 0.304
0.500 0.500 0.500
0.000 0.000 0.000
0.121 0.857 0.386
0.379 0.643 0.114
0.379 0.357 0.886
0.879 0.386 0.143
0.621 0.886 0.643
0.879 0.614 0.857
0.121 0.143 0.614
0.621 0.114 0.357
```


19.
Compound: K3MnSi
Source: the Alexandria database
Functional: GGA-PBE
Structure: optimized geometry

* mass density: 1.232 Mg/m³
* ΔE_f (raw): 0.859 eV per atom
* offset from the most stable computed form: 0 meV per atom

```
K3MnSi
1.0
-6.201 -0.917 1.577
1.680 -0.694 6.203
-0.711 6.361 0.904
Mn K Si
1 3 1
direct
0.500 0.500 0.500
0.500 0.000 0.000
0.000 0.000 0.500
0.000 0.500 0.000
0.000 0.000 0.000
```


20.
Compound: Sr2Pt5Au5
Source: the Alexandria database
Functional: GGA-PBE
Structure: optimized geometry

* mass density: 14.424 Mg/m³
* ΔE_f: -505 meV per atom

```
Sr2Pt5Au5
1.0
-4.157 -0.477 -1.809
1.901 -4.064 -3.296
-2.206 -6.542 6.794
Pt Au Sr
5 5 2
direct
0.500 0.248 0.255
0.500 0.752 0.255
0.500 0.500 0.500
0.500 0.752 0.745
0.500 0.248 0.745
0.000 0.500 0.668
0.000 0.000 0.825
0.000 0.500 0.332
0.000 0.000 0.175
0.500 0.000 0.000
0.000 0.000 0.500
0.000 0.500 0.000
```